1.
## Cs2MgZn2Se4 (PBE)

Data for Cs2MgZn2Se4 after structural relaxation.

```
Cs2MgZn2Se4
1.0
8.094 -2.049 0.000
8.094 2.049 0.000
-2.439 0.000 7.913
Cs Mg Zn Se
2 1 2 4
direct
0.127 0.127 0.042
0.873 0.873 0.958
0.000 0.000 0.500
0.329 0.329 0.522
0.671 0.671 0.478
0.205 0.205 0.664
0.478 0.478 0.706
0.522 0.522 0.294
0.795 0.795 0.336
```

E = -3.2166 eV/atom
crystal system = monoclinic
DOS(E_F) = 0.00 states/eV/f.u.
symmetry = C2/m
total magnetization = 0.00 μB per formula unit

***

2.
## Zr2PtRh2 (PBE)

Data for Zr2PtRh2 after structural relaxation.

```
Zr2PtRh2
1.0
7.244 0.000 0.000
0.000 7.244 0.000
0.000 0.000 3.407
Zr Pt Rh
4 2 4
direct
0.173 0.327 0.000
0.327 0.827 0.000
0.673 0.173 0.000
0.827 0.673 0.000
0.000 0.000 0.500
0.500 0.500 0.500
0.133 0.633 0.500
0.367 0.133 0.500
0.633 0.867 0.500
0.867 0.367 0.500
```

DFT formation energy = -0.778 eV/atom
crystal system = tetragonal
DOS(E_F) = 4.06 states/eV/f.u.
symmetry = P4/mbm
total magnetization = 0.00 μB per formula unit
energy relative to the lowest polymorph listed for this composition = 0 meV/atom

***

3.
## Al2SiSe (PBE)

Data for Al2SiSe after structural relaxation.

```
Al2SiSe
1.0
2.867 0.000 0.000
0.000 2.867 0.000
0.000 0.000 9.126
Al Si Se
2 1 1
direct
0.000 0.000 0.000
0.500 0.500 0.215
0.500 0.500 0.801
0.000 0.000 0.441
```

crystal system = tetragonal
DOS(E_F) = 0.91 states/eV/f.u.
symmetry = P4mm
total magnetization = 0.00 μB per formula unit
energy relative to the lowest polymorph listed for this composition = 525 meV/atom

***

Please write out number 1 again, unchanged.
## Cs2MgZn2Se4 (PBE)

Data for Cs2MgZn2Se4 after structural relaxation.

```
Cs2MgZn2Se4
1.0
8.094 -2.049 0.000
8.094 2.049 0.000
-2.439 0.000 7.913
Cs Mg Zn Se
2 1 2 4
direct
0.127 0.127 0.042
0.873 0.873 0.958
0.000 0.000 0.500
0.329 0.329 0.522
0.671 0.671 0.478
0.205 0.205 0.664
0.478 0.478 0.706
0.522 0.522 0.294
0.795 0.795 0.336
```

E = -3.2166 eV/atom
crystal system = monoclinic
DOS(E_F) = 0.00 states/eV/f.u.
symmetry = C2/m
total magnetization = 0.00 μB per formula unit

***

Copy entry 2 word for word.
## Zr2PtRh2 (PBE)

Data for Zr2PtRh2 after structural relaxation.

```
Zr2PtRh2
1.0
7.244 0.000 0.000
0.000 7.244 0.000
0.000 0.000 3.407
Zr Pt Rh
4 2 4
direct
0.173 0.327 0.000
0.327 0.827 0.000
0.673 0.173 0.000
0.827 0.673 0.000
0.000 0.000 0.500
0.500 0.500 0.500
0.133 0.633 0.500
0.367 0.133 0.500
0.633 0.867 0.500
0.867 0.367 0.500
```

DFT formation energy = -0.778 eV/atom
crystal system = tetragonal
DOS(E_F) = 4.06 states/eV/f.u.
symmetry = P4/mbm
total magnetization = 0.00 μB per formula unit
energy relative to the lowest polymorph listed for this composition = 0 meV/atom

***

Question: The highest DOS(E_F) belongs to which entry?
Answer: Zr2PtRh2

***

Question: Look up the total magnetization of the first one.
Answer: 0.00 μB per formula unit